(1)
V6FeRu2 after structural relaxation, computed with PBE-GGA.

It has space group C2/m (No. 12), with a = 12.451 Å, b = 5.738 Å, c = 4.130 Å, α = 90.00°, β = 109.26° and γ = 90.00°. The asymmetric unit holds V at (0.000, 0.230, 0.000), V at (0.159, 0.250, 0.658), Fe at (0.000, 0.000, 0.500) and Ru at (0.168, 0.500, 0.168).

---

(2)
V2FeRu2 after structural relaxation, computed with PBE-GGA.

It has space group P4/mbm (No. 127), with a = 7.045 Å, b = 7.045 Å, c = 2.863 Å, α = 90.00°, β = 90.00° and γ = 90.00°. The asymmetric unit holds V at (0.160, 0.340, 0.000), Fe at (0.000, 0.000, 0.500) and Ru at (0.142, 0.642, 0.500).

---

| no. | energy relative to the elements (meV/atom) |
| --- | --- |
| 1 | 337 |
| 2 | 74 |